Here is Mn2Cd2SnO6 after structural relaxation from the Alexandria database. Energies are from GGA+U.

a = 5.573 Å, b = 5.573 Å, c = 5.745 Å
α = 99.94°, β = 99.94°, γ = 118.16°
Fractional coordinates of all 11 atoms:
Mn (0.338, 0.662, 0.500)
Mn (0.662, 0.338, 0.500)
Cd (0.825, 0.175, 0.000)
Cd (0.175, 0.825, 0.000)
Sn (0.000, 0.000, 0.500)
O (0.764, 0.764, 0.707)
O (0.047, 0.381, 0.719)
O (0.236, 0.236, 0.293)
O (0.381, 0.047, 0.719)
O (0.953, 0.619, 0.281)
O (0.619, 0.953, 0.281)

Output
* DFT total energy: -65.792 eV per formula unit
* space-group type: C2/m, No. 12
* V: 148.2 Å³/cell
* spin magnetization: 9.99 μB/f.u.